VASP calculation (PBEsol) on MnNb2H2 after structural relaxation.

Lattice parameters (Å, degrees): 2.9816 2.9816 11.5856 90.00 90.00 90.00
Fractional coordinates of all 10 atoms:
Mn  0.0000  0.0000  0.0000
Mn  0.5000  0.5000  0.5000
Nb  0.0000  0.0000  0.3663
Nb  0.0000  0.0000  0.6337
Nb  0.5000  0.5000  0.1337
Nb  0.5000  0.5000  0.8663
H  0.0000  0.5000  0.2500
H  0.0000  0.5000  0.7500
H  0.5000  0.0000  0.2500
H  0.5000  0.0000  0.7500

## Properties
**Uncorrected energy**: -7.765 eV per atom
**Crystal system**: tetragonal

VASP calculation (PBEsol) on LaMoSe2N after structural relaxation.

Lattice parameters (Å, degrees): 5.6711 5.6711 4.0209 90.00 90.00 90.00
Fractional coordinates of all 5 atoms:
La  0.0000  0.0000  0.0000
Mo  0.5000  0.5000  0.5000
Se  0.0000  0.5000  0.0000
Se  0.5000  0.0000  0.0000
N  0.0000  0.0000  0.5000

## Properties
**Crystal system**: tetragonal
**Uncorrected formation energy**: 4.26 eV/f.u.

VASP calculation (PBEsol) on Li4Ti3Cr3Ni2O16 after structural relaxation.

Lattice parameters (Å, degrees): 5.7406 5.7406 9.4032 91.53 91.53 60.36
Fractional coordinates of all 28 atoms:
Li  0.0000  0.0000  0.0000
Li  0.0008  0.0008  0.4974
Li  0.3546  0.3546  0.8982
Li  0.6876  0.6876  0.3961
Ti  0.1814  0.1814  0.2134
Ti  0.3529  0.8508  0.7161
Ti  0.8508  0.3529  0.7161
Cr  0.1869  0.6721  0.2156
Cr  0.6721  0.1869  0.2156
Cr  0.8440  0.8440  0.7146
Ni  0.3488  0.3488  0.4862
Ni  0.6824  0.6824  0.9896
O  0.0138  0.0138  0.3135
O  0.0169  0.0169  0.8160
O  0.0611  0.5003  0.3425
O  0.1752  0.1752  0.6040
O  0.1767  0.6809  0.6062
O  0.3382  0.8460  0.1055
O  0.3451  0.3451  0.1035
O  0.5003  0.0611  0.3425
O  0.4996  0.4996  0.3334
O  0.5393  0.5393  0.8426
O  0.5434  0.9812  0.8397
O  0.6771  0.6771  0.6020
O  0.6809  0.1767  0.6062
O  0.8460  0.3382  0.1055
O  0.8462  0.8462  0.1142
O  0.9812  0.5434  0.8397

## Properties
**Crystal system**: monoclinic
**Uncorrected formation energy**: -59.29 eV/f.u.

Question: Which formula does entry 2 have?
Answer: LaMoSe2N